Entry 1:
! Na2AgC PBE optimized geometry; values from VASP
&SYSTEM
  ibrav = 0, nat = 8, ntyp = 3
/
ATOMIC_SPECIES
Na 22.99 Na.upf
C 12.01 C.upf
Ag 107.87 Ag.upf
CELL_PARAMETERS angstrom
11.080 0.000 0.000
0.000 11.080 0.000
5.540 5.540 1.976
ATOMIC_POSITIONS crystal
Na 0.867 0.125 0.250
Na 0.883 0.625 0.250
Na 0.375 0.133 0.750
Na 0.875 0.117 0.750
C 0.500 0.500 0.000
C 0.250 0.750 0.500
Ag 0.000 0.000 0.000
Ag 0.750 0.250 0.500
! - Uncorrected energy: -2.789 eV/atom
! - SG: No. 122


Entry 2:
! KTcRu2 PBE optimized geometry; values from VASP
&SYSTEM
  ibrav = 0, nat = 4, ntyp = 3
/
ATOMIC_SPECIES
K 39.10 K.upf
Ru 101.07 Ru.upf
Tc 98.00 Tc.upf
CELL_PARAMETERS angstrom
-5.490 -1.837 0.541
-1.383 -5.333 -1.860
2.791 3.674 3.539
ATOMIC_POSITIONS crystal
K 0.750 0.250 0.500
Ru 0.036 0.036 0.000
Ru 0.464 0.464 0.000
Tc 0.250 0.750 0.500
! - SG: No. 71
! - Distance to the lowest polymorph of the same formula: 509.0 meV per atom


Entry 3:
! Be2ReSb PBE optimized geometry; values from VASP
&SYSTEM
  ibrav = 0, nat = 4, ntyp = 3
/
ATOMIC_SPECIES
Re 186.21 Re.upf
Be 9.01 Be.upf
Sb 121.76 Sb.upf
CELL_PARAMETERS angstrom
-2.079 3.407 0.131
-2.328 -1.306 -2.968
-2.080 -1.355 2.228
ATOMIC_POSITIONS crystal
Re 0.500 0.000 0.500
Be 0.000 0.000 0.000
Be 0.500 0.500 0.000
Sb 0.000 0.500 0.500
! - SG: No. 123
! - Formation energy from raw total energies: 447 meV/atom


Entry 4:
! LiYHoZn PBE optimized geometry; values from VASP
&SYSTEM
  ibrav = 0, nat = 4, ntyp = 4
/
ATOMIC_SPECIES
Li 6.94 Li.upf
Y 88.91 Y.upf
Ho 164.93 Ho.upf
Zn 65.41 Zn.upf
CELL_PARAMETERS angstrom
3.615 0.000 0.000
0.000 3.615 0.000
0.000 0.000 7.351
ATOMIC_POSITIONS crystal
Li 0.000 0.000 0.861
Y 0.500 0.500 0.590
Ho 0.500 0.500 0.125
Zn 0.000 0.000 0.353
! - SG: No. 99
! - Distance to the lowest polymorph of the same formula: 0.0 meV per atom


Entry 5:
! LiPr2C2N4F3 PBE optimized geometry; values from VASP
&SYSTEM
  ibrav = 0, nat = 24, ntyp = 5
/
ATOMIC_SPECIES
Li 6.94 Li.upf
Pr 140.91 Pr.upf
C 12.01 C.upf
N 14.01 N.upf
F 19.00 F.upf
CELL_PARAMETERS angstrom
-1.960 -0.342 -6.418
-4.729 -4.364 -1.936
-7.600 3.846 -1.243
ATOMIC_POSITIONS crystal
Li 0.911 0.089 0.250
Li 0.089 0.911 0.750
Pr 0.291 0.283 0.332
Pr 0.709 0.717 0.668
Pr 0.717 0.709 0.168
Pr 0.283 0.291 0.832
C 0.273 0.775 0.047
C 0.775 0.273 0.547
C 0.225 0.727 0.453
C 0.727 0.225 0.953
N 0.434 0.839 0.963
N 0.288 0.885 0.365
N 0.566 0.161 0.037
N 0.115 0.712 0.135
N 0.839 0.434 0.463
N 0.885 0.288 0.865
N 0.161 0.566 0.537
N 0.712 0.115 0.635
F 0.395 0.605 0.750
F 0.690 0.935 0.367
F 0.605 0.395 0.250
F 0.935 0.690 0.867
F 0.310 0.065 0.633
F 0.065 0.310 0.133
! - SG: No. 15
! - Formation energy from raw total energies: -1856 meV/atom


Entry 6:
! Rb2AsRhAu PBE optimized geometry; values from VASP
&SYSTEM
  ibrav = 0, nat = 10, ntyp = 4
/
ATOMIC_SPECIES
Rb 85.47 Rb.upf
As 74.92 As.upf
Rh 102.91 Rh.upf
Au 196.97 Au.upf
CELL_PARAMETERS angstrom
4.184 0.000 0.000
0.000 4.184 0.000
0.000 0.000 20.991
ATOMIC_POSITIONS crystal
Rb 0.000 0.500 0.653
Rb 0.000 0.500 0.110
Rb 0.500 0.000 0.890
Rb 0.500 0.000 0.347
As 0.500 0.000 0.563
As 0.000 0.500 0.437
Rh 0.000 0.000 0.500
Rh 0.500 0.500 0.500
Au 0.500 0.000 0.187
Au 0.000 0.500 0.813
! - Uncorrected energy: -3.803 eV/atom
! - SG: No. 129


Entry 7:
! HgSbRuI2 PBE optimized geometry; values from VASP
&SYSTEM
  ibrav = 0, nat = 5, ntyp = 4
/
ATOMIC_SPECIES
I 126.90 I.upf
Sb 121.76 Sb.upf
Hg 200.59 Hg.upf
Ru 101.07 Ru.upf
CELL_PARAMETERS angstrom
5.609 0.000 0.000
0.000 5.609 0.000
0.000 0.000 5.031
ATOMIC_POSITIONS crystal
I 0.000 0.500 0.000
I 0.500 0.000 0.000
Sb 0.000 0.000 0.500
Hg 0.500 0.500 0.500
Ru 0.000 0.000 0.000
! - SG: No. 123
! - Formation energy from raw total energies: 319 meV/atom
! - Distance to the lowest polymorph of the same formula: 0.0 meV per atom


Entry 8:
! Hf4SiN2 PBE optimized geometry; values from VASP
&SYSTEM
  ibrav = 0, nat = 14, ntyp = 3
/
ATOMIC_SPECIES
Hf 178.49 Hf.upf
Si 28.09 Si.upf
N 14.01 N.upf
CELL_PARAMETERS angstrom
-0.742 1.318 3.033
1.294 -5.461 0.796
10.887 2.791 1.451
ATOMIC_POSITIONS crystal
Hf 0.768 0.535 0.109
Hf 0.768 0.535 0.391
Hf 0.232 0.465 0.891
Hf 0.232 0.465 0.609
Hf 0.924 0.847 0.750
Hf 0.076 0.153 0.250
Hf 0.500 0.000 0.000
Hf 0.500 0.000 0.500
Si 0.608 0.217 0.750
Si 0.392 0.783 0.250
N 0.134 0.267 0.438
N 0.866 0.733 0.938
N 0.134 0.267 0.062
N 0.866 0.733 0.562
! - SG: No. 63
! - Formation energy from raw total energies: -1263 meV/atom
! - Distance to the lowest polymorph of the same formula: 0.0 meV per atom


Entry 9:
! TbPm2Ag PBE optimized geometry; values from VASP
&SYSTEM
  ibrav = 0, nat = 4, ntyp = 3
/
ATOMIC_SPECIES
Tb 158.93 Tb.upf
Ag 107.87 Ag.upf
Pm 145.00 Pm.upf
CELL_PARAMETERS angstrom
-2.333 2.008 -2.020
0.821 -2.026 -2.963
-6.509 -5.556 1.994
ATOMIC_POSITIONS crystal
Tb 0.500 0.500 0.500
Ag 0.500 0.500 0.000
Pm 0.000 0.000 0.783
Pm 0.000 0.000 0.217
! - SG: No. 123
! - Distance to the lowest polymorph of the same formula: 15.1 meV per atom


Entry 10:
! Cs5SO6 PBE optimized geometry; values from VASP
&SYSTEM
  ibrav = 0, nat = 12, ntyp = 3
/
ATOMIC_SPECIES
Cs 132.91 Cs.upf
S 32.06 S.upf
O 16.00 O.upf
CELL_PARAMETERS angstrom
0.169 0.025 6.797
-6.620 -1.394 1.083
-1.926 -7.280 0.531
ATOMIC_POSITIONS crystal
Cs 0.500 0.166 0.669
Cs 0.000 0.324 0.353
Cs 0.500 0.500 0.000
Cs 0.000 0.676 0.647
Cs 0.500 0.834 0.331
S 0.000 0.000 0.000
O 0.729 0.073 0.329
O 0.271 0.598 0.329
O 0.141 0.159 0.000
O 0.859 0.841 0.000
O 0.729 0.402 0.671
O 0.271 0.927 0.671
! - SG: No. 12
! - Formation energy from raw total energies: -672 meV/atom


Entry 11:
! SmZn2Rh PBE optimized geometry; values from VASP
&SYSTEM
  ibrav = 0, nat = 32, ntyp = 3
/
ATOMIC_SPECIES
Sm 150.36 Sm.upf
Zn 65.41 Zn.upf
Rh 102.91 Rh.upf
CELL_PARAMETERS angstrom
5.413 0.000 0.000
0.000 7.368 0.000
0.000 0.000 15.223
ATOMIC_POSITIONS crystal
Sm 0.452 0.250 0.141
Sm 0.952 0.750 0.359
Sm 0.548 0.750 0.859
Sm 0.048 0.250 0.641
Sm 0.727 0.250 0.399
Sm 0.227 0.750 0.101
Sm 0.273 0.750 0.601
Sm 0.773 0.250 0.899
Zn 0.929 0.050 0.209
Zn 0.429 0.950 0.291
Zn 0.071 0.550 0.791
Zn 0.571 0.450 0.709
Zn 0.071 0.950 0.791
Zn 0.571 0.050 0.709
Zn 0.929 0.450 0.209
Zn 0.429 0.550 0.291
Zn 0.739 0.558 0.040
Zn 0.239 0.442 0.460
Zn 0.261 0.058 0.960
Zn 0.761 0.942 0.540
Zn 0.261 0.442 0.960
Zn 0.761 0.558 0.540
Zn 0.739 0.942 0.040
Zn 0.239 0.058 0.460
Rh 0.190 0.250 0.312
Rh 0.690 0.750 0.188
Rh 0.810 0.750 0.688
Rh 0.310 0.250 0.812
Rh 0.988 0.250 0.070
Rh 0.488 0.750 0.430
Rh 0.012 0.750 0.930
Rh 0.512 0.250 0.570
! - Uncorrected energy: -4.196 eV/atom
! - SG: No. 62


Entry 12:
! LuZrFeAu PBE optimized geometry; values from VASP
&SYSTEM
  ibrav = 0, nat = 4, ntyp = 4
/
ATOMIC_SPECIES
Lu 174.97 Lu.upf
Au 196.97 Au.upf
Fe 55.84 Fe.upf
Zr 91.22 Zr.upf
CELL_PARAMETERS angstrom
4.774 0.000 0.000
2.387 4.134 0.000
2.387 1.378 3.898
ATOMIC_POSITIONS crystal
Lu 0.750 0.750 0.750
Au 0.000 0.000 0.000
Fe 0.500 0.500 0.500
Zr 0.250 0.250 0.250
! - Uncorrected energy: -6.493 eV/atom
! - SG: No. 216